[1]
An optimized crystal structure of AgGeN, computed with PBE.

abc: 5.762 5.762 2.873
angles: 104.43 104.43 28.08
Positions (direct):
Ag  0.000  0.000  0.000
Ge  0.727  0.727  0.230
N  0.289  0.289  0.790

Values from the calculation:
Its energy relative to the elements, uncorrected is 0.596 eV per atom. The crystal system is monoclinic.

---

[2]
An optimized crystal structure of GaGeF2, computed with PBE.

abc: 7.938 7.938 7.938
angles: 22.16 22.16 22.16
Positions (direct):
Ga  0.000  0.000  0.000
Ge  0.500  0.500  0.500
F  0.410  0.410  0.410
F  0.590  0.590  0.590

Values from the calculation:
Its energy relative to the elements, uncorrected is -1.365 eV per atom. The crystal system is trigonal.

---

[3]
An optimized crystal structure of ZrGeSb3, computed with PBE.

abc: 5.237 5.237 5.237
angles: 90.00 90.00 90.00
Positions (direct):
Zr  0.000  0.000  0.000
Ge  0.500  0.500  0.500
Sb  0.000  0.500  0.500
Sb  0.500  0.000  0.500
Sb  0.500  0.500  0.000

Values from the calculation:
Its energy relative to the elements, uncorrected is 0.706 eV per atom. The crystal system is cubic.

---

[4]
An optimized crystal structure of Ta4AlAu, computed with PBE.

abc: 5.442 5.442 5.442
angles: 60.00 60.00 60.00
Positions (direct):
Ta  0.376  0.376  0.376
Ta  0.376  0.376  0.871
Ta  0.376  0.871  0.376
Ta  0.871  0.376  0.376
Al  0.750  0.750  0.750
Au  0.000  0.000  0.000

Values from the calculation:
The calculation puts the formation energy at 0.38 eV/atom. The crystal system is cubic.

---

[5]
An optimized crystal structure of Tb3Si2Rh, computed with PBE.

abc: 11.598 4.193 11.232
angles: 90.00 90.00 90.00
Positions (direct):
Tb  0.055  0.250  0.126
Tb  0.121  0.750  0.557
Tb  0.217  0.250  0.801
Tb  0.283  0.750  0.301
Tb  0.379  0.250  0.057
Tb  0.445  0.750  0.626
Tb  0.555  0.250  0.374
Tb  0.621  0.750  0.943
Tb  0.717  0.250  0.699
Tb  0.783  0.750  0.199
Tb  0.879  0.250  0.443
Tb  0.945  0.750  0.874
Si  0.017  0.750  0.313
Si  0.192  0.750  0.999
Si  0.308  0.250  0.499
Si  0.483  0.250  0.813
Si  0.517  0.750  0.187
Si  0.692  0.750  0.501
Si  0.808  0.250  0.001
Si  0.983  0.250  0.687
Rh  0.130  0.250  0.367
Rh  0.370  0.750  0.867
Rh  0.630  0.250  0.133
Rh  0.870  0.750  0.633

Values from the calculation:
Its energy relative to the elements, uncorrected is -0.831 eV per atom. The crystal system is orthorhombic.

---

[6]
An optimized crystal structure of AlP2BrCl, computed with PBE.

abc: 4.831 4.831 4.628
angles: 90.00 90.00 90.00
Positions (direct):
Al  0.000  0.000  0.000
P  0.000  0.500  0.000
P  0.500  0.000  0.000
Br  0.500  0.500  0.500
Cl  0.000  0.000  0.500

Values from the calculation:
Its energy relative to the elements, uncorrected is 0.336 eV per atom. The crystal system is tetragonal.

---

[7]
An optimized crystal structure of HoEr2Hg, computed with PBE.

abc: 10.576 10.576 10.576
angles: 19.67 19.67 19.67
Positions (direct):
Ho  0.000  0.000  0.000
Er  0.576  0.576  0.576
Er  0.757  0.757  0.757
Hg  0.166  0.166  0.166

Values from the calculation:
The calculation puts the formation energy at -0.16 eV/atom. The crystal system is trigonal.

---

[8]
An optimized crystal structure of Zr2TlTe, computed with PBE.

abc: 5.912 5.912 5.912
angles: 137.25 137.25 62.06
Positions (direct):
Zr  0.000  0.000  0.000
Zr  0.750  0.250  0.500
Tl  0.250  0.750  0.500
Te  0.500  0.500  0.000

Values from the calculation:
Its energy relative to the elements, uncorrected is -0.147 eV per atom. The crystal system is tetragonal.

---

[9]
An optimized crystal structure of TiCo2N2, computed with PBE.

abc: 5.179 5.179 5.179
angles: 143.79 143.79 52.14
Positions (direct):
Ti  0.000  0.000  0.000
Co  0.250  0.750  0.500
Co  0.750  0.250  0.500
N  0.370  0.370  0.000
N  0.630  0.630  0.000

Values from the calculation:
Its energy relative to the elements, uncorrected is 0.151 eV per atom. The crystal system is tetragonal.

---

[10]
An optimized crystal structure of Rb2U3Se8, computed with PBE.

abc: 9.918 9.918 4.751
angles: 90.00 90.00 118.26
Positions (direct):
Rb  0.242  0.758  0.000
Rb  0.758  0.242  0.000
U  0.212  0.212  0.500
U  0.500  0.500  0.000
U  0.788  0.788  0.500
Se  0.101  0.899  0.500
Se  0.168  0.359  0.000
Se  0.359  0.168  0.000
Se  0.406  0.594  0.500
Se  0.594  0.406  0.500
Se  0.641  0.832  0.000
Se  0.832  0.641  0.000
Se  0.899  0.101  0.500

Values from the calculation:
Its energy relative to the elements, uncorrected is -1.102 eV per atom. The crystal system is orthorhombic.

---

[11]
An optimized crystal structure of LaZrIr2, computed with PBE.

abc: 4.762 4.762 4.762
angles: 60.00 60.00 60.00
Positions (direct):
La  0.000  0.000  0.000
Zr  0.750  0.750  0.750
Ir  0.250  0.250  0.250
Ir  0.500  0.500  0.500

Values from the calculation:
The calculation puts the formation energy at -0.22 eV/atom. The crystal system is cubic.

---

[12]
An optimized crystal structure of Ta2ZnBr, computed with PBE.

abc: 5.003 5.003 4.927
angles: 96.58 96.58 36.83
Positions (direct):
Ta  0.248  0.248  0.227
Ta  0.752  0.752  0.773
Zn  0.500  0.500  0.000
Br  0.000  0.000  0.500

Values from the calculation:
Its energy relative to the elements, uncorrected is 0.465 eV per atom. The crystal system is monoclinic.